Material: YSc2Cr
Method: DFT, PBEsol
State: optimized geometry

Output
DOS at the Fermi energy (states/eV/cell): 4.81
Distance to the lowest polymorph of the same formula (kJ/mol of formula units): 35
Magnetic moment (μB per cell): 1.79
E_form (eV per atom): 0.3221
Theoretical density (g cm⁻³): 4.3

abc: 4.675 6.134 6.134
angles: 30.76 90.00 90.00
Fractional coordinates of all 4 atoms:
1 Y 0.000 0.000 0.000
2 Sc 0.000 0.271 0.271
3 Sc 0.500 0.668 0.668
4 Cr 0.500 0.387 0.387

Material: Y4CoSe
Method: DFT, PBEsol
State: optimized geometry

Output
DOS at the Fermi energy (states/eV/cell): 11.40
Energy relative to the elements, uncorrected (eV/atom): 0.65
Magnetic moment (μB per cell): 1.83
Theoretical density (g cm⁻³): 5.3

abc: 6.015 6.015 6.015
angles: 60.00 60.00 60.00
Fractional coordinates of all 6 atoms:
1 Y 0.376 0.376 0.376
2 Y 0.376 0.376 0.872
3 Y 0.376 0.872 0.376
4 Y 0.872 0.376 0.376
5 Co 0.750 0.750 0.750
6 Se 0.000 0.000 0.000

Material: Cs2MnBi2S5
Method: DFT, PBEsol
State: optimized geometry

Output
Energy relative to the elements, uncorrected (eV/atom): -0.75
Magnetic moment (μB per cell): 20.00
Theoretical density (g cm⁻³): 5.1

abc: 15.723 4.113 18.072
angles: 90.00 90.00 90.00
Fractional coordinates of all 40 atoms:
1 Cs 0.006 0.250 0.123
2 Cs 0.036 0.750 0.382
3 Cs 0.464 0.250 0.882
4 Cs 0.494 0.750 0.623
5 Cs 0.506 0.250 0.377
6 Cs 0.536 0.750 0.118
7 Cs 0.964 0.250 0.618
8 Cs 0.994 0.750 0.877
9 Mn 0.208 0.250 0.855
10 Mn 0.292 0.750 0.355
11 Mn 0.708 0.250 0.645
12 Mn 0.792 0.750 0.145
13 Bi 0.210 0.750 0.699
14 Bi 0.248 0.750 0.016
15 Bi 0.252 0.250 0.516
16 Bi 0.290 0.250 0.199
17 Bi 0.710 0.750 0.801
18 Bi 0.748 0.750 0.484
19 Bi 0.752 0.250 0.984
20 Bi 0.790 0.250 0.301
21 S 0.108 0.250 0.757
22 S 0.135 0.750 0.561
23 S 0.139 0.250 0.971
24 S 0.180 0.750 0.150
25 S 0.211 0.250 0.347
26 S 0.289 0.750 0.847
27 S 0.320 0.250 0.650
28 S 0.361 0.750 0.471
29 S 0.365 0.250 0.061
30 S 0.392 0.750 0.257
31 S 0.608 0.250 0.743
32 S 0.635 0.750 0.939
33 S 0.639 0.250 0.529
34 S 0.680 0.750 0.350
35 S 0.711 0.250 0.153
36 S 0.789 0.750 0.653
37 S 0.820 0.250 0.850
38 S 0.861 0.750 0.029
39 S 0.865 0.250 0.439
40 S 0.892 0.750 0.243

Material: Mg17Al11Tl
Method: DFT, PBEsol
State: optimized geometry

Output
DOS at the Fermi energy (states/eV/cell): 11.36
Magnetic moment (μB per cell): 0.00
E_form (eV per atom): -0.0111
Theoretical density (g cm⁻³): 2.6

abc: 9.098 9.098 9.118
angles: 109.47 109.47 109.36
Fractional coordinates of all 29 atoms:
1 Mg 0.000 0.000 0.000
2 Mg 0.002 0.321 0.256
3 Mg 0.003 0.003 0.662
4 Mg 0.003 0.352 0.665
5 Mg 0.004 0.606 0.977
6 Mg 0.289 0.690 0.344
7 Mg 0.320 0.613 0.662
8 Mg 0.321 0.002 0.256
9 Mg 0.352 0.003 0.665
10 Mg 0.400 0.717 0.057
11 Mg 0.412 0.412 0.375
12 Mg 0.606 0.004 0.977
13 Mg 0.613 0.320 0.662
14 Mg 0.662 0.662 0.313
15 Mg 0.687 0.687 0.944
16 Mg 0.690 0.289 0.344
17 Mg 0.717 0.400 0.057
18 Al 0.004 0.637 0.474
19 Al 0.182 0.369 0.029
20 Al 0.187 0.821 0.845
21 Al 0.369 0.182 0.029
22 Al 0.380 0.380 0.860
23 Al 0.636 0.817 0.659
24 Al 0.637 0.004 0.474
25 Al 0.811 0.999 0.289
26 Al 0.817 0.636 0.659
27 Al 0.821 0.187 0.845
28 Al 0.999 0.811 0.289
29 Tl 0.202 0.202 0.483

Material: Ho4Ge9Ir13
Method: DFT, PBEsol
State: optimized geometry

Output
DOS at the Fermi energy (states/eV/cell): 23.77
Magnetic moment (μB per cell): 0.00
E_form (eV per atom): -0.6756
Theoretical density (g cm⁻³): 14.9

abc: 3.946 11.174 19.289
angles: 90.00 90.00 90.00
Fractional coordinates of all 52 atoms:
1 Ho 0.250 0.059 0.208
2 Ho 0.250 0.250 0.023
3 Ho 0.250 0.441 0.208
4 Ho 0.250 0.750 0.519
5 Ho 0.750 0.250 0.481
6 Ho 0.750 0.559 0.792
7 Ho 0.750 0.750 0.977
8 Ho 0.750 0.941 0.792
9 Ge 0.250 0.071 0.416
10 Ge 0.250 0.120 0.731
11 Ge 0.250 0.250 0.601
12 Ge 0.250 0.380 0.731
13 Ge 0.250 0.429 0.416
14 Ge 0.250 0.564 0.919
15 Ge 0.250 0.750 0.099
16 Ge 0.250 0.750 0.735
17 Ge 0.250 0.936 0.919
18 Ge 0.750 0.064 0.081
19 Ge 0.750 0.250 0.265
20 Ge 0.750 0.250 0.901
21 Ge 0.750 0.436 0.081
22 Ge 0.750 0.571 0.584
23 Ge 0.750 0.620 0.269
24 Ge 0.750 0.750 0.399
25 Ge 0.750 0.880 0.269
26 Ge 0.750 0.929 0.584
27 Ir 0.250 0.059 0.540
28 Ir 0.250 0.126 0.858
29 Ir 0.250 0.250 0.342
30 Ir 0.250 0.374 0.858
31 Ir 0.250 0.441 0.540
32 Ir 0.250 0.550 0.046
33 Ir 0.250 0.567 0.665
34 Ir 0.250 0.623 0.355
35 Ir 0.250 0.750 0.227
36 Ir 0.250 0.750 0.859
37 Ir 0.250 0.877 0.355
38 Ir 0.250 0.933 0.665
39 Ir 0.250 0.950 0.046
40 Ir 0.750 0.050 0.954
41 Ir 0.750 0.067 0.335
42 Ir 0.750 0.123 0.645
43 Ir 0.750 0.250 0.141
44 Ir 0.750 0.250 0.773
45 Ir 0.750 0.377 0.645
46 Ir 0.750 0.433 0.335
47 Ir 0.750 0.450 0.954
48 Ir 0.750 0.559 0.460
49 Ir 0.750 0.626 0.142
50 Ir 0.750 0.750 0.658
51 Ir 0.750 0.874 0.142
52 Ir 0.750 0.941 0.460

Material: ScTe2Rh
Method: DFT, PBEsol
State: optimized geometry

Output
DOS at the Fermi energy (states/eV/cell): 1.15
Energy relative to the elements, uncorrected (eV/atom): -0.72
Magnetic moment (μB per cell): 0.00
Theoretical density (g cm⁻³): 6.4

abc: 7.065 7.065 7.065
angles: 148.88 144.95 47.57
Fractional coordinates of all 4 atoms:
1 Sc 0.000 0.000 0.000
2 Te 0.353 0.853 0.500
3 Te 0.647 0.147 0.500
4 Rh 0.500 0.500 0.000